Entry 1:
Compound: LiAcDyS3
Source: the Alexandria database
Functional: GGA-PBE
Structure: relaxed

Calculated values
Magnetization ... 0.000 μB per atom
ΔE_f (raw) ... -1.87 eV/atom
Crystal system ... monoclinic

The structure in extended XYZ format:
```
12
Lattice="8.317 0.000 0.000 0.000 3.975 0.000 -2.131 0.000 8.418" Properties=species:S:1:pos:R:3 pbc="T T T"
Li 0.551 0.994 0.745
Li 5.635 2.982 7.673
Ac 0.041 0.994 6.127
Ac 6.145 2.982 2.291
Dy 2.062 2.982 2.878
Dy 4.124 0.994 5.540
S 0.092 0.994 3.074
S 1.719 2.982 0.085
S 2.236 2.982 5.659
S 3.950 0.994 2.759
S 4.467 0.994 8.333
S 6.094 2.982 5.344
```

***

Entry 2:
Compound: Th11Hg9Pd4
Source: the Alexandria database
Functional: GGA-PBE
Structure: relaxed

Calculated values
Magnetization ... 0.000 μB per atom
Energy relative to the elements ... -419 meV/atom
Crystal system ... orthorhombic

The structure in extended XYZ format:
```
24
Lattice="7.450 -11.195 0.000 7.450 11.195 0.000 0.000 0.000 3.775" Properties=species:S:1:pos:R:3 pbc="T T T"
Th 0.000 0.000 0.000
Th 3.537 3.894 0.000
Th 7.450 7.572 0.000
Th 4.544 0.000 0.000
Th 7.450 2.895 0.000
Th 3.537 -3.894 0.000
Th 11.363 3.894 0.000
Th 7.450 -2.895 0.000
Th 10.356 0.000 0.000
Th 7.450 -7.572 0.000
Th 11.363 -3.894 0.000
Hg 2.154 1.593 1.887
Hg 5.908 5.289 1.887
Hg 2.154 -1.593 1.887
Hg 8.992 5.289 1.887
Hg 7.450 0.000 1.887
Hg 5.908 -5.289 1.887
Hg 12.746 1.593 1.887
Hg 8.992 -5.289 1.887
Hg 12.746 -1.593 1.887
Pd 5.206 2.232 1.887
Pd 5.206 -2.232 1.887
Pd 9.694 2.232 1.887
Pd 9.694 -2.232 1.887
```

***

Entry 3:
Compound: Tc3BOs
Source: the Alexandria database
Functional: GGA-PBE
Structure: relaxed

Calculated values
Magnetization ... 0.631 μB per atom
E above lowest polymorph ... 253.9 kJ per mole of atoms
Energy relative to the elements ... 2574 meV/atom
Crystal system ... cubic

The structure in extended XYZ format:
```
5
Lattice="4.693 0.000 0.000 0.000 4.693 0.000 0.000 0.000 4.693" Properties=species:S:1:pos:R:3 pbc="T T T"
Tc 0.000 0.000 2.347
Tc 0.000 2.347 0.000
Tc 2.347 0.000 0.000
B 2.347 2.347 2.347
Os 0.000 0.000 0.000
```